! PBE Cs4Tb3SnTe8, optimized geometry; values from VASP
! **Space-group type**: No. 12
! **Raw formation energy**: -1.174 eV/atom
&SYSTEM
  ibrav = 0, nat = 16, ntyp = 4
/
ATOMIC_SPECIES
Cs 132.91 Cs.upf
Tb 158.93 Tb.upf
Sn 118.71 Sn.upf
Te 127.60 Te.upf
CELL_PARAMETERS angstrom
7.944 -4.585 0.000
7.944 4.585 0.000
-5.304 0.000 8.902
ATOMIC_POSITIONS angstrom
Cs 0.000 0.000 0.000
Cs 3.972 2.292 0.000
Cs 3.972 -2.292 0.000
Cs 7.944 0.000 0.000
Tb -2.652 0.000 4.451
Tb 1.320 2.292 4.451
Tb 1.320 -2.292 4.451
Sn 5.292 0.000 4.451
Te 3.967 2.293 6.120
Te -0.004 0.000 6.152
Te 2.641 0.000 2.781
Te 6.616 2.293 2.782
Te 3.967 -2.293 6.120
Te 7.942 0.000 6.120
Te 10.587 0.000 2.750
Te 6.616 -2.293 2.782


! PBE Cs2TcSn, optimized geometry; values from VASP
! **Space-group type**: No. 225
! **DFT formation energy**: 536 kJ/mol of formula units
&SYSTEM
  ibrav = 0, nat = 4, ntyp = 3
/
ATOMIC_SPECIES
Cs 132.91 Cs.upf
Tc 98.00 Tc.upf
Sn 118.71 Sn.upf
CELL_PARAMETERS angstrom
0.000 4.171 4.171
4.171 0.000 4.171
4.171 4.171 0.000
ATOMIC_POSITIONS angstrom
Cs 2.085 2.085 2.085
Cs 6.256 6.256 6.256
Tc 0.000 0.000 0.000
Sn 4.171 4.171 4.171


! PBE CsTcSn3, optimized geometry; values from VASP
! **Space-group type**: No. 221
! **DFT formation energy**: 49 kJ/mol of formula units
&SYSTEM
  ibrav = 0, nat = 5, ntyp = 3
/
ATOMIC_SPECIES
Cs 132.91 Cs.upf
Tc 98.00 Tc.upf
Sn 118.71 Sn.upf
CELL_PARAMETERS angstrom
5.300 0.000 0.000
0.000 5.300 0.000
0.000 0.000 5.300
ATOMIC_POSITIONS angstrom
Cs 0.000 0.000 0.000
Tc 2.650 2.650 2.650
Sn 0.000 2.650 2.650
Sn 2.650 0.000 2.650
Sn 2.650 2.650 0.000


! PBE CsTcSn2, optimized geometry; values from VASP
! **Space-group type**: No. 141
! **DFT formation energy**: 99 kJ/mol of formula units
&SYSTEM
  ibrav = 0, nat = 8, ntyp = 3
/
ATOMIC_SPECIES
Cs 132.91 Cs.upf
Tc 98.00 Tc.upf
Sn 118.71 Sn.upf
CELL_PARAMETERS angstrom
-3.484 3.484 7.348
3.484 -3.484 7.348
3.484 3.484 -7.348
ATOMIC_POSITIONS angstrom
Cs 3.484 1.742 1.837
Cs 0.000 1.742 5.511
Tc 3.484 -1.742 5.511
Tc 0.000 5.225 1.837
Sn 0.000 0.000 0.000
Sn 1.742 1.742 -3.674
Sn 1.742 -1.742 3.674
Sn 0.000 3.484 0.000


! PBE CsTcSn2, optimized geometry; values from VASP
! **Space-group type**: No. 225
! **DFT formation energy**: 359 kJ/mol of formula units
&SYSTEM
  ibrav = 0, nat = 4, ntyp = 3
/
ATOMIC_SPECIES
Cs 132.91 Cs.upf
Tc 98.00 Tc.upf
Sn 118.71 Sn.upf
CELL_PARAMETERS angstrom
0.000 3.788 3.788
3.788 0.000 3.788
3.788 3.788 0.000
ATOMIC_POSITIONS angstrom
Cs 0.000 0.000 0.000
Tc 3.788 3.788 3.788
Sn 1.894 1.894 1.894
Sn 5.682 5.682 5.682


! PBE CsTcSn3, optimized geometry; values from VASP
! **Space-group type**: No. 221
! **DFT formation energy**: 1078 kJ/mol of formula units
&SYSTEM
  ibrav = 0, nat = 5, ntyp = 3
/
ATOMIC_SPECIES
Cs 132.91 Cs.upf
Tc 98.00 Tc.upf
Sn 118.71 Sn.upf
CELL_PARAMETERS angstrom
6.024 0.000 0.000
0.000 6.024 0.000
0.000 0.000 6.024
ATOMIC_POSITIONS angstrom
Cs 0.000 0.000 0.000
Tc 3.012 3.012 3.012
Sn 0.000 0.000 3.012
Sn 0.000 3.012 0.000
Sn 3.012 0.000 0.000


! PBE CsV2TcSn, optimized geometry; values from VASP
! **Space-group type**: No. 123
! **DFT formation energy**: 672 kJ/mol of formula units
&SYSTEM
  ibrav = 0, nat = 5, ntyp = 4
/
ATOMIC_SPECIES
Cs 132.91 Cs.upf
V 50.94 V.upf
Tc 98.00 Tc.upf
Sn 118.71 Sn.upf
CELL_PARAMETERS angstrom
4.837 0.000 0.000
0.000 4.837 0.000
0.000 0.000 5.649
ATOMIC_POSITIONS angstrom
Cs 0.000 0.000 0.000
V 0.000 2.418 2.825
V 2.418 0.000 2.825
Tc 0.000 0.000 2.825
Sn 2.418 2.418 0.000


! PBE CsZnTcSn2, optimized geometry; values from VASP
! **Space-group type**: No. 123
! **DFT formation energy**: 10 kJ/mol of formula units
&SYSTEM
  ibrav = 0, nat = 5, ntyp = 4
/
ATOMIC_SPECIES
Cs 132.91 Cs.upf
Zn 65.41 Zn.upf
Tc 98.00 Tc.upf
Sn 118.71 Sn.upf
CELL_PARAMETERS angstrom
5.212 0.000 0.000
0.000 5.212 0.000
0.000 0.000 5.279
ATOMIC_POSITIONS angstrom
Cs 0.000 0.000 0.000
Zn 2.606 2.606 0.000
Tc 2.606 2.606 2.639
Sn 0.000 2.606 2.639
Sn 2.606 0.000 2.639


! PBE CsSn3Te, optimized geometry; values from VASP
! **Space-group type**: No. 221
! **Raw formation energy**: 1.403 eV/atom
&SYSTEM
  ibrav = 0, nat = 5, ntyp = 3
/
ATOMIC_SPECIES
Cs 132.91 Cs.upf
Sn 118.71 Sn.upf
Te 127.60 Te.upf
CELL_PARAMETERS angstrom
6.221 0.000 0.000
0.000 6.221 0.000
0.000 0.000 6.221
ATOMIC_POSITIONS angstrom
Cs 0.000 0.000 0.000
Sn 0.000 0.000 3.110
Sn 0.000 3.110 0.000
Sn 3.110 0.000 0.000
Te 3.110 3.110 3.110


! PBE Cs3Sn2Te4, optimized geometry; values from VASP
! **Space-group type**: No. 15
! **Raw formation energy**: -0.713 eV/atom
&SYSTEM
  ibrav = 0, nat = 18, ntyp = 3
/
ATOMIC_SPECIES
Cs 132.91 Cs.upf
Sn 118.71 Sn.upf
Te 127.60 Te.upf
CELL_PARAMETERS angstrom
7.594 -6.378 0.000
7.594 6.378 0.000
-1.676 0.000 9.539
ATOMIC_POSITIONS angstrom
Cs 6.337 4.863 7.155
Cs 4.805 1.635 3.563
Cs 3.967 -1.635 8.332
Cs 9.545 1.635 1.207
Cs 8.707 -1.635 5.977
Cs 7.175 -4.863 2.385
Sn 1.437 1.551 8.726
Sn 2.275 -1.551 3.957
Sn 11.237 1.551 5.583
Sn 12.075 -1.551 0.813
Te 1.648 0.649 5.796
Te 4.188 2.323 9.364
Te 2.487 -0.649 1.026
Te 8.486 2.323 4.945
Te 5.026 -2.323 4.594
Te 11.026 0.649 8.513
Te 9.325 -2.323 0.175
Te 11.864 -0.649 3.744


! PBE Cs3SnTe, optimized geometry; values from VASP
! **Space-group type**: No. 221
! **Raw formation energy**: -0.317 eV/atom
&SYSTEM
  ibrav = 0, nat = 5, ntyp = 3
/
ATOMIC_SPECIES
Cs 132.91 Cs.upf
Sn 118.71 Sn.upf
Te 127.60 Te.upf
CELL_PARAMETERS angstrom
7.333 0.000 0.000
0.000 7.333 0.000
0.000 0.000 7.333
ATOMIC_POSITIONS angstrom
Cs 0.000 0.000 3.667
Cs 0.000 3.667 0.000
Cs 3.667 0.000 0.000
Sn 3.667 3.667 3.667
Te 0.000 0.000 0.000


! PBE CsSn2Te3, optimized geometry; values from VASP
! **Space-group type**: No. 63
! **Raw formation energy**: -0.385 eV/atom
&SYSTEM
  ibrav = 0, nat = 12, ntyp = 3
/
ATOMIC_SPECIES
Cs 132.91 Cs.upf
Sn 118.71 Sn.upf
Te 127.60 Te.upf
CELL_PARAMETERS angstrom
5.804 -6.072 0.000
5.804 6.072 0.000
0.000 0.000 7.351
ATOMIC_POSITIONS angstrom
Cs 5.804 4.160 5.513
Cs 5.804 -4.160 1.838
Sn 4.096 0.000 0.000
Sn 4.096 0.000 3.675
Sn 7.512 0.000 0.000
Sn 7.512 0.000 3.675
Te 2.380 1.517 5.513
Te 2.380 -1.517 1.838
Te 5.804 2.044 1.838
Te 5.804 -2.044 5.513
Te 9.227 1.517 5.513
Te 9.227 -1.517 1.838


no.,spin magnetization (μB per cell),calculated volume (Å³ per cell),ρ (g cm⁻³)
1,0.00,648,5.50
2,3.31,145,5.52
3,0.00,149,6.55
4,0.00,357,4.36
5,1.96,109,7.15
6,3.46,219,4.46
7,3.95,132,5.67
8,0.00,143,6.18
9,0.00,241,4.25
10,0.00,924,4.12
11,3.00,394,2.72
12,0.00,518,4.83